{"formula": "LaTa4Se", "functional": "PBE", "state": "optimized geometry", "lattice": [[0.000, 4.048, 4.048], [4.048, 0.000, 4.048], [4.048, 4.048, 0.000]], "species": ["La", "Ta", "Ta", "Ta", "Ta", "Se"], "frac_coords": [[0.750, 0.750, 0.750], [0.864, 0.379, 0.379], [0.379, 0.379, 0.864], [0.379, 0.864, 0.379], [0.379, 0.379, 0.379], [0.000, 0.000, 0.000]], "dft_energy_ev_per_cell": -52.77, "volume_a3_per_cell": 133}


{"formula": "LiAc2Ge4Pd3", "functional": "PBE", "state": "optimized geometry", "lattice": [[-0.657, -3.597, -2.573], [4.234, 0.240, -1.417], [2.976, -6.160, 7.850]], "species": ["Li", "Ac", "Ac", "Ge", "Ge", "Ge", "Ge", "Pd", "Pd", "Pd"], "frac_coords": [[0.500, 0.500, 0.500], [0.500, 0.000, 0.251], [0.000, 0.500, 0.749], [0.500, 0.500, 0.000], [0.000, 0.000, 0.000], [0.500, 0.000, 0.630], [0.000, 0.500, 0.370], [0.000, 0.000, 0.500], [0.500, 0.000, 0.875], [0.000, 0.500, 0.125]], "formation_energy_mev_per_atom": -760, "volume_a3_per_cell": 208}


{"formula": "Ac2Pm6Dy5", "functional": "PBE", "state": "optimized geometry", "lattice": [[-2.151, 2.345, -1.886], [-9.298, -2.758, 7.175], [5.371, 15.226, 12.812]], "species": ["Ac", "Ac", "Ac", "Ac", "Pm", "Pm", "Pm", "Pm", "Pm", "Pm", "Pm", "Pm", "Pm", "Pm", "Pm", "Pm", "Dy", "Dy", "Dy", "Dy", "Dy", "Dy", "Dy", "Dy", "Dy", "Dy"], "frac_coords": [[0.000, 0.337, 0.280], [0.000, 0.663, 0.720], [0.000, 0.837, 0.220], [0.000, 0.163, 0.780], [0.000, 0.076, 0.363], [0.000, 0.924, 0.637], [0.000, 0.576, 0.137], [0.000, 0.424, 0.863], [0.500, 0.319, 0.120], [0.500, 0.681, 0.880], [0.500, 0.819, 0.380], [0.500, 0.181, 0.620], [0.000, 0.558, 0.424], [0.000, 0.442, 0.576], [0.000, 0.058, 0.076], [0.000, 0.942, 0.924], [0.500, 0.299, 0.446], [0.500, 0.701, 0.554], [0.500, 0.799, 0.054], [0.500, 0.201, 0.946], [0.500, 0.598, 0.281], [0.500, 0.402, 0.719], [0.500, 0.098, 0.219], [0.500, 0.902, 0.781], [0.500, 0.500, 0.000], [0.500, 0.000, 0.500]], "formation_energy_mev_per_atom": 112, "volume_a3_per_cell": 920}


{"formula": "Tb2Ho5ThSc", "functional": "PBE", "state": "optimized geometry", "lattice": [[-1.534, 4.321, 3.252], [-4.173, -9.019, 5.156], [7.973, -0.875, 4.922]], "species": ["Tb", "Tb", "Tb", "Tb", "Ho", "Ho", "Ho", "Ho", "Ho", "Ho", "Ho", "Ho", "Ho", "Ho", "Th", "Th", "Sc", "Sc"], "frac_coords": [[0.885, 0.770, 0.820], [0.134, 0.267, 0.709], [0.115, 0.230, 0.320], [0.866, 0.733, 0.209], [0.395, 0.789, 0.045], [0.732, 0.463, 0.828], [0.471, 0.942, 0.748], [0.304, 0.608, 0.719], [0.987, 0.975, 0.513], [0.605, 0.211, 0.545], [0.268, 0.537, 0.328], [0.529, 0.058, 0.248], [0.696, 0.392, 0.219], [0.013, 0.025, 0.013], [0.599, 0.198, 0.928], [0.401, 0.802, 0.428], [0.809, 0.619, 0.515], [0.191, 0.381, 0.015]], "formation_energy_mev_per_atom": 172, "volume_a3_per_cell": 573}